Entry from the Alexandria database: an optimized crystal structure of PrSmS2O (PBE-GGA).

abc: 4.007 4.007 14.246
angles: 90.00 90.00 90.00
Element x y z (fractional)
Pr: 0.250 0.250 0.087
Pr: 0.750 0.750 0.913
Sm: 0.250 0.250 0.624
Sm: 0.750 0.750 0.376
S: 0.250 0.250 0.409
S: 0.250 0.250 0.804
S: 0.750 0.750 0.196
S: 0.750 0.750 0.591
O: 0.250 0.750 0.000
O: 0.750 0.250 0.000

Summary:
Total magnetization in μB per atom: 0.0000
Energy in eV per atom: -7.01
Formation energy (no corrections) in eV per atom: -2.466
V in A^3/atom: 22.87